[1]
# TaCu2Au

A geometry-optimized TaCu2Au structure (PBE, Alexandria via LeMat-Bulk).

Calculated values
As for the energy above the most stable polymorph in this dataset: 195.5 meV per atom. For the mass density, the calculation gives 13.8 g cm⁻³.

Cell lengths 4.677, 4.677, 2.779 Å; angles 90.00, 90.00, 90.00 degrees
Space group P4/mmm (No. 123)
Unique sites:
Ta 0.000 0.000 0.000
Cu 0.000 0.500 0.500
Au 0.500 0.500 0.000

***

[2]
# MnZn2Os

A geometry-optimized MnZn2Os structure (PBE, Alexandria via LeMat-Bulk).

Calculated values
As for the energy above the most stable polymorph in this dataset: 0.0 meV per atom. For the mass density, the calculation gives 11.6 g cm⁻³.

Cell lengths 2.795, 2.795, 6.897 Å; angles 90.00, 90.00, 90.00 degrees
Space group P4mm (No. 99)
Unique sites:
Mn 0.000 0.000 0.000
Zn 0.000 0.000 0.487
Zn 0.500 0.500 0.756
Os 0.500 0.500 0.217

***

[3]
# K3Pa2NiSe6

A geometry-optimized K3Pa2NiSe6 structure (PBE, Alexandria via LeMat-Bulk).

Calculated values
The formation energy (no corrections) is -1.113 eV/atom. For the mass density, the calculation gives 5.5 g cm⁻³.

Cell lengths 7.113, 12.312, 8.088 Å; angles 90.00, 107.01, 90.00 degrees
Space group C2/m (No. 12)
Unique sites:
K 0.000 0.000 0.000
K 0.000 0.334 0.000
Pa 0.000 0.167 0.500
Ni 0.000 0.500 0.500
Se 0.231 0.337 0.701
Se 0.240 0.000 0.701

***

[4]
# Ag2TeAu

A geometry-optimized Ag2TeAu structure (PBE, Alexandria via LeMat-Bulk).

Calculated values
The formation energy (no corrections) is 0.145 eV/atom. For the mass density, the calculation gives 10.5 g cm⁻³.

Cell lengths 4.299, 4.310, 9.200 Å; angles 90.00, 90.00, 90.00 degrees
Space group Cmm2 (No. 35)
Unique sites:
Ag 0.000 0.000 0.000
Ag 0.000 0.500 0.217
Te 0.000 0.000 0.486
Au 0.000 0.500 0.787

***

[5]
# NdTaAl2

A geometry-optimized NdTaAl2 structure (PBE, Alexandria via LeMat-Bulk).

Calculated values
For the mass density, the calculation gives 7.6 g cm⁻³. As for the raw total energy: -71.54 eV per cell.

Cell lengths 3.0787, 3.0787, 30.3339 Å; angles 90.00, 90.00, 120.00 degrees
Space group R-3m (No. 166, hexagonal axes)
Unique sites:
Nd 0.0000 0.0000 0.0000
Ta 0.0000 0.0000 0.5000
Al 0.0000 0.0000 0.2403

***

[6]
# InGe2Te2

A geometry-optimized InGe2Te2 structure (PBE, Alexandria via LeMat-Bulk).

Calculated values
The formation energy (no corrections) is 0.049 eV/atom. As for the energy above the most stable polymorph in this dataset: 0.0 meV per atom. For the mass density, the calculation gives 5.8 g cm⁻³.

Cell lengths 5.565, 5.565, 9.458 Å; angles 90.00, 90.00, 90.00 degrees
Space group I4/mmm (No. 139)
Unique sites:
In 0.000 0.000 0.000
Ge 0.000 0.000 0.355
Te 0.000 0.500 0.250